Density functional theory data (PBE) for LaInPd after structural relaxation.

Summary:
As for the space group: No. 189. As for the mass density: 8.11 g cm⁻³. The crystal system is hexagonal. Its final energy is -4.854 eV/atom. Its total magnetization is 0.00 μB/f.u.

Cell: 7.3556 7.3556 4.7229 Å, 90.00 90.00 120.00°
Atoms (fractional coordinates):
Pd 0.2344 0.0000 0.0000
La 0.4421 0.4421 0.5000
In 0.6667 0.3333 0.0000
Pd 0.0000 0.2344 0.0000
La 0.5579 0.0000 0.5000
In 0.0000 0.0000 0.5000
La 0.0000 0.5579 0.5000
In 0.3333 0.6667 0.0000
Pd 0.7656 0.7656 0.0000